Cr2CdReI | PBE-GGA | optimized geometry

Spin magnetization = 5.604 Bohr magnetons per cell
Uncorrected formation energy = 5.685 eV per formula unit
E = -28.5 eV per cell

abc: 4.772 5.414 4.772
angles: 90.00 90.00 90.00
Site moments in Bohr magnetons follow the coordinates.
Sites, in units of the cell vectors:
I 0.500 0.500 0.500  -0.01
Re 0.000 0.000 0.000  -1.00
Cr 0.000 0.000 0.500  2.79
Cr 0.500 0.000 0.000  3.32
Cd 0.000 0.500 0.000  -0.04